# 1
Density functional theory data (GGA-PBE) for CaCr2Ni after structural relaxation.

Properties
E above lowest polymorph, meV per atom: 135
ΔE_f, eV per atom: 0.49
DOS at the Fermi energy, states/eV per atom: 0.427

Geometry as CIF:
```
data_CaCr2Ni
_chemical_formula_sum 'Ca1 Cr2 Ni1'
_symmetry_space_group_name_H-M 'P m m m'
_symmetry_Int_Tables_number 47
_cell_length_a 3.709
_cell_length_b 3.969
_cell_length_c 4.624
_cell_angle_alpha 90.00
_cell_angle_beta 90.00
_cell_angle_gamma 90.00
loop_
_symmetry_equiv_pos_as_xyz
'x,y,z'
'-x,-y,-z'
'-x,-y,z'
'x,y,-z'
'x,-y,-z'
'-x,y,z'
'-x,y,-z'
'x,-y,z'
loop_
_atom_site_label
_atom_site_type_symbol
_atom_site_fract_x
_atom_site_fract_y
_atom_site_fract_z
Ca1 Ca 0.000 0.000 0.000
Cr1 Cr 0.000 0.500 0.500
Cr2 Cr 0.500 0.000 0.500
Ni1 Ni 0.500 0.500 0.000
```



# 2
Density functional theory data (GGA-PBE) for CaCrNi2 after structural relaxation.

Properties
E above lowest polymorph, meV per atom: 245
ΔE_f, eV per atom: 0.35
DOS at the Fermi energy, states/eV per atom: 1.129

Geometry as CIF:
```
data_CaCrNi2
_chemical_formula_sum 'Ca2 Cr2 Ni4'
_symmetry_space_group_name_H-M 'I m m 2'
_symmetry_Int_Tables_number 44
_cell_length_a 3.014
_cell_length_b 4.508
_cell_length_c 9.391
_cell_angle_alpha 90.00
_cell_angle_beta 90.00
_cell_angle_gamma 90.00
loop_
_symmetry_equiv_pos_as_xyz
'x,y,z'
'-x,-y,z'
'-x,y,z'
'x,-y,z'
'x+1/2,y+1/2,z+1/2'
'-x+1/2,-y+1/2,z+1/2'
'-x+1/2,y+1/2,z+1/2'
'x+1/2,-y+1/2,z+1/2'
loop_
_atom_site_label
_atom_site_type_symbol
_atom_site_fract_x
_atom_site_fract_y
_atom_site_fract_z
Ca1 Ca 0.000 0.000 0.000
Cr1 Cr 0.000 0.500 0.789
Ni1 Ni 0.000 0.000 0.521
Ni2 Ni 0.000 0.500 0.231
```



# 3
Density functional theory data (GGA-PBE) for CaCrNi2 after structural relaxation.

Properties
E above lowest polymorph, meV per atom: 178
ΔE_f, eV per atom: 0.28
DOS at the Fermi energy, states/eV per atom: 1.024

Geometry as CIF:
```
data_CaCrNi2
_chemical_formula_sum 'Ca1 Cr1 Ni2'
_symmetry_space_group_name_H-M 'P 1 m 1'
_symmetry_Int_Tables_number 6
_cell_length_a 3.185
_cell_length_b 4.070
_cell_length_c 5.366
_cell_angle_alpha 90.00
_cell_angle_beta 106.79
_cell_angle_gamma 90.00
loop_
_symmetry_equiv_pos_as_xyz
'x,y,z'
'x,-y,z'
loop_
_atom_site_label
_atom_site_type_symbol
_atom_site_fract_x
_atom_site_fract_y
_atom_site_fract_z
Ca1 Ca 0.000 0.000 0.000
Cr1 Cr 0.716 0.500 0.419
Ni1 Ni 0.272 0.000 0.524
Ni2 Ni 0.395 0.500 0.785
```



# 4
Density functional theory data (GGA-PBE) for CaCr3Ni after structural relaxation.

Properties
E above lowest polymorph, meV per atom: 0
ΔE_f, eV per atom: 0.90
DOS at the Fermi energy, states/eV per atom: 1.049

Geometry as CIF:
```
data_CaCr3Ni
_chemical_formula_sum 'Ca1 Cr3 Ni1'
_symmetry_space_group_name_H-M 'P m -3 m'
_symmetry_Int_Tables_number 221
_symmetry_space_group_name_Hall '-P 4 2 3'
_cell_length_a 4.695
_cell_length_b 4.695
_cell_length_c 4.695
_cell_angle_alpha 90.00
_cell_angle_beta 90.00
_cell_angle_gamma 90.00
loop_
_atom_site_label
_atom_site_type_symbol
_atom_site_fract_x
_atom_site_fract_y
_atom_site_fract_z
Ca1 Ca 0.000 0.000 0.000
Cr1 Cr 0.000 0.500 0.500
Ni1 Ni 0.500 0.500 0.500
```



# 5
Density functional theory data (GGA-PBE) for CaCrNi2 after structural relaxation.

Properties
E above lowest polymorph, meV per atom: 257
ΔE_f, eV per atom: 0.36
DOS at the Fermi energy, states/eV per atom: 1.429

Geometry as CIF:
```
data_CaCrNi2
_chemical_formula_sum 'Ca1 Cr1 Ni2'
_symmetry_space_group_name_H-M 'P m m 2'
_symmetry_Int_Tables_number 25
_cell_length_a 2.949
_cell_length_b 3.388
_cell_length_c 6.459
_cell_angle_alpha 90.00
_cell_angle_beta 90.00
_cell_angle_gamma 90.00
loop_
_symmetry_equiv_pos_as_xyz
'x,y,z'
'-x,-y,z'
'-x,y,z'
'x,-y,z'
loop_
_atom_site_label
_atom_site_type_symbol
_atom_site_fract_x
_atom_site_fract_y
_atom_site_fract_z
Ca1 Ca 0.000 0.000 0.000
Cr1 Cr 0.500 0.500 0.357
Ni1 Ni 0.000 0.000 0.512
Ni2 Ni 0.500 0.500 0.716
```



# 6
Density functional theory data (GGA-PBE) for Ca2CrNi after structural relaxation.

Properties
E above lowest polymorph, meV per atom: 132
ΔE_f, eV per atom: 0.38
DOS at the Fermi energy, states/eV per atom: 0.785

Geometry as CIF:
```
data_Ca2CrNi
_chemical_formula_sum 'Ca2 Cr1 Ni1'
_symmetry_space_group_name_H-M 'P 4/m m m'
_symmetry_Int_Tables_number 123
_symmetry_space_group_name_Hall '-P 4 2'
_cell_length_a 3.555
_cell_length_b 3.555
_cell_length_c 7.409
_cell_angle_alpha 90.00
_cell_angle_beta 90.00
_cell_angle_gamma 90.00
loop_
_atom_site_label
_atom_site_type_symbol
_atom_site_fract_x
_atom_site_fract_y
_atom_site_fract_z
Ca1 Ca 0.000 0.000 0.221
Cr1 Cr 0.500 0.500 0.500
Ni1 Ni 0.500 0.500 0.000
```



# 7
Density functional theory data (GGA-PBE) for CaCrNi2 after structural relaxation.

Properties
E above lowest polymorph, meV per atom: 393
ΔE_f, eV per atom: 0.50
DOS at the Fermi energy, states/eV per atom: 0.831

Geometry as CIF:
```
data_CaCrNi2
_chemical_formula_sum 'Ca4 Cr4 Ni8'
_symmetry_space_group_name_H-M 'I -4 2 d'
_symmetry_Int_Tables_number 122
_symmetry_space_group_name_Hall 'I -4 2bw'
_cell_length_a 4.534
_cell_length_b 4.534
_cell_length_c 16.095
_cell_angle_alpha 90.00
_cell_angle_beta 90.00
_cell_angle_gamma 90.00
loop_
_atom_site_label
_atom_site_type_symbol
_atom_site_fract_x
_atom_site_fract_y
_atom_site_fract_z
Ca1 Ca 0.000 0.000 0.000
Cr1 Cr 0.000 0.000 0.500
Ni1 Ni 0.047 0.250 0.625
```



# 8
Density functional theory data (GGA-PBE) for Ca2CrNi after structural relaxation.

Properties
E above lowest polymorph, meV per atom: 150
ΔE_f, eV per atom: 0.40
DOS at the Fermi energy, states/eV per atom: 0.811

Geometry as CIF:
```
data_Ca2CrNi
_chemical_formula_sum 'Ca8 Cr4 Ni4'
_symmetry_space_group_name_H-M 'F m -3 m'
_symmetry_Int_Tables_number 225
_symmetry_space_group_name_Hall '-F 4 2 3'
_cell_length_a 7.193
_cell_length_b 7.193
_cell_length_c 7.193
_cell_angle_alpha 90.00
_cell_angle_beta 90.00
_cell_angle_gamma 90.00
loop_
_atom_site_label
_atom_site_type_symbol
_atom_site_fract_x
_atom_site_fract_y
_atom_site_fract_z
Ca1 Ca 0.250 0.250 0.250
Cr1 Cr 0.000 0.000 0.000
Ni1 Ni 0.000 0.000 0.500
```



# 9
Density functional theory data (GGA-PBE) for CaCr3Ni after structural relaxation.

Properties
E above lowest polymorph, meV per atom: 1763
ΔE_f, eV per atom: 2.66
DOS at the Fermi energy, states/eV per atom: 1.355

Geometry as CIF:
```
data_CaCr3Ni
_chemical_formula_sum 'Ca1 Cr3 Ni1'
_symmetry_space_group_name_H-M 'P m -3 m'
_symmetry_Int_Tables_number 221
_symmetry_space_group_name_Hall '-P 4 2 3'
_cell_length_a 4.213
_cell_length_b 4.213
_cell_length_c 4.213
_cell_angle_alpha 90.00
_cell_angle_beta 90.00
_cell_angle_gamma 90.00
loop_
_atom_site_label
_atom_site_type_symbol
_atom_site_fract_x
_atom_site_fract_y
_atom_site_fract_z
Ca1 Ca 0.000 0.000 0.000
Cr1 Cr 0.000 0.000 0.500
Ni1 Ni 0.500 0.500 0.500
```



# 10
Density functional theory data (GGA-PBE) for CaCrNi2 after structural relaxation.

Properties
E above lowest polymorph, meV per atom: 313
ΔE_f, eV per atom: 0.42
DOS at the Fermi energy, states/eV per atom: 1.415

Geometry as CIF:
```
data_CaCrNi2
_chemical_formula_sum 'Ca2 Cr2 Ni4'
_symmetry_space_group_name_H-M 'I -4 m 2'
_symmetry_Int_Tables_number 119
_symmetry_space_group_name_Hall 'I -4 -2'
_cell_length_a 3.869
_cell_length_b 3.869
_cell_length_c 8.484
_cell_angle_alpha 90.00
_cell_angle_beta 90.00
_cell_angle_gamma 90.00
loop_
_atom_site_label
_atom_site_type_symbol
_atom_site_fract_x
_atom_site_fract_y
_atom_site_fract_z
Ca1 Ca 0.000 0.000 0.000
Cr1 Cr 0.000 0.500 0.750
Ni1 Ni 0.000 0.000 0.500
Ni2 Ni 0.000 0.500 0.250
```



# 11
Density functional theory data (GGA-PBE) for CaCr2Ni after structural relaxation.

Properties
E above lowest polymorph, meV per atom: 0
ΔE_f, eV per atom: 0.36
DOS at the Fermi energy, states/eV per atom: 0.890

Geometry as CIF:
```
data_CaCr2Ni
_chemical_formula_sum 'Ca1 Cr2 Ni1'
_symmetry_space_group_name_H-M 'P 4 m m'
_symmetry_Int_Tables_number 99
_cell_length_a 3.081
_cell_length_b 3.081
_cell_length_c 6.955
_cell_angle_alpha 90.00
_cell_angle_beta 90.00
_cell_angle_gamma 90.00
loop_
_symmetry_equiv_pos_as_xyz
'x,y,z'
'-y,x,z'
'-x,-y,z'
'y,-x,z'
'-x,y,z'
'y,x,z'
'x,-y,z'
'-y,-x,z'
loop_
_atom_site_label
_atom_site_type_symbol
_atom_site_fract_x
_atom_site_fract_y
_atom_site_fract_z
Ca1 Ca 0.000 0.000 0.000
Cr1 Cr 0.000 0.000 0.517
Cr2 Cr 0.500 0.500 0.346
Ni1 Ni 0.500 0.500 0.720
```



# 12
Density functional theory data (GGA-PBE) for Ca2CrNi after structural relaxation.

Properties
E above lowest polymorph, meV per atom: 62
ΔE_f, eV per atom: 0.31
DOS at the Fermi energy, states/eV per atom: 0.850

Geometry as CIF:
```
data_Ca2CrNi
_chemical_formula_sum 'Ca4 Cr2 Ni2'
_symmetry_space_group_name_H-M 'I m m 2'
_symmetry_Int_Tables_number 44
_cell_length_a 3.474
_cell_length_b 5.057
_cell_length_c 10.660
_cell_angle_alpha 90.00
_cell_angle_beta 90.00
_cell_angle_gamma 90.00
loop_
_symmetry_equiv_pos_as_xyz
'x,y,z'
'-x,-y,z'
'-x,y,z'
'x,-y,z'
'x+1/2,y+1/2,z+1/2'
'-x+1/2,-y+1/2,z+1/2'
'-x+1/2,y+1/2,z+1/2'
'x+1/2,-y+1/2,z+1/2'
loop_
_atom_site_label
_atom_site_type_symbol
_atom_site_fract_x
_atom_site_fract_y
_atom_site_fract_z
Ca1 Ca 0.000 0.000 0.000
Ca2 Ca 0.000 0.500 0.203
Cr1 Cr 0.000 0.500 0.803
Ni1 Ni 0.000 0.000 0.462
```



# 13
Density functional theory data (GGA-PBE) for CaCr2Ni after structural relaxation.

Properties
E above lowest polymorph, meV per atom: 582
ΔE_f, eV per atom: 0.94
DOS at the Fermi energy, states/eV per atom: 1.802

Geometry as CIF:
```
data_CaCr2Ni
_chemical_formula_sum 'Ca3 Cr6 Ni3'
_symmetry_space_group_name_H-M 'R -3 m'
_symmetry_Int_Tables_number 166
_symmetry_space_group_name_Hall '-R 3 2"'
_cell_length_a 2.6724
_cell_length_b 2.6724
_cell_length_c 27.8430
_cell_angle_alpha 90.00
_cell_angle_beta 90.00
_cell_angle_gamma 120.00
loop_
_atom_site_label
_atom_site_type_symbol
_atom_site_fract_x
_atom_site_fract_y
_atom_site_fract_z
Ca1 Ca 0.0000 0.0000 0.0000
Cr1 Cr 0.0000 0.0000 0.2381
Ni1 Ni 0.0000 0.0000 0.5000
```



# 14
Density functional theory data (GGA-PBE) for CaCrNi3 after structural relaxation.

Properties
E above lowest polymorph, meV per atom: 1404
ΔE_f, eV per atom: 1.93
DOS at the Fermi energy, states/eV per atom: 2.001

Geometry as CIF:
```
data_CaCrNi3
_chemical_formula_sum 'Ca1 Cr1 Ni3'
_symmetry_space_group_name_H-M 'P m -3 m'
_symmetry_Int_Tables_number 221
_symmetry_space_group_name_Hall '-P 4 2 3'
_cell_length_a 4.441
_cell_length_b 4.441
_cell_length_c 4.441
_cell_angle_alpha 90.00
_cell_angle_beta 90.00
_cell_angle_gamma 90.00
loop_
_atom_site_label
_atom_site_type_symbol
_atom_site_fract_x
_atom_site_fract_y
_atom_site_fract_z
Ca1 Ca 0.000 0.000 0.000
Cr1 Cr 0.500 0.500 0.500
Ni1 Ni 0.000 0.000 0.500
```



# 15
Density functional theory data (GGA-PBE) for CaCr2Ni after structural relaxation.

Properties
E above lowest polymorph, meV per atom: 108
ΔE_f, eV per atom: 0.47
DOS at the Fermi energy, states/eV per atom: 0.717

Geometry as CIF:
```
data_CaCr2Ni
_chemical_formula_sum 'Ca2 Cr4 Ni2'
_symmetry_space_group_name_H-M 'C 1 m 1'
_symmetry_Int_Tables_number 8
_cell_length_a 8.512
_cell_length_b 3.098
_cell_length_c 5.709
_cell_angle_alpha 90.00
_cell_angle_beta 103.91
_cell_angle_gamma 90.00
loop_
_symmetry_equiv_pos_as_xyz
'x,y,z'
'x,-y,z'
'x+1/2,y+1/2,z'
'x+1/2,-y+1/2,z'
loop_
_atom_site_label
_atom_site_type_symbol
_atom_site_fract_x
_atom_site_fract_y
_atom_site_fract_z
Ca1 Ca 0.000 0.000 0.000
Cr1 Cr 0.205 0.000 0.596
Cr2 Cr 0.488 0.000 0.503
Ni1 Ni 0.266 0.500 0.302
```



# 16
Density functional theory data (GGA-PBE) for CaCr2Ni after structural relaxation.

Properties
E above lowest polymorph, meV per atom: 140
ΔE_f, eV per atom: 0.50
DOS at the Fermi energy, states/eV per atom: 1.057

Geometry as CIF:
```
data_CaCr2Ni
_chemical_formula_sum 'Ca2 Cr4 Ni2'
_symmetry_space_group_name_H-M 'C 1 2/m 1'
_symmetry_Int_Tables_number 12
_cell_length_a 9.081
_cell_length_b 3.009
_cell_length_c 5.086
_cell_angle_alpha 90.00
_cell_angle_beta 102.28
_cell_angle_gamma 90.00
loop_
_symmetry_equiv_pos_as_xyz
'x,y,z'
'-x,-y,-z'
'-x,y,-z'
'x,-y,z'
'x+1/2,y+1/2,z'
'-x+1/2,-y+1/2,-z'
'-x+1/2,y+1/2,-z'
'x+1/2,-y+1/2,z'
loop_
_atom_site_label
_atom_site_type_symbol
_atom_site_fract_x
_atom_site_fract_y
_atom_site_fract_z
Ca1 Ca 0.000 0.000 0.000
Cr1 Cr 0.217 0.000 0.623
Ni1 Ni 0.000 0.500 0.500
```



# 17
Density functional theory data (GGA-PBE) for CaCr2Ni after structural relaxation.

Properties
E above lowest polymorph, meV per atom: 407
ΔE_f, eV per atom: 0.77
DOS at the Fermi energy, states/eV per atom: 1.398

Geometry as CIF:
```
data_CaCr2Ni
_chemical_formula_sum 'Ca4 Cr8 Ni4'
_symmetry_space_group_name_H-M 'F m -3 m'
_symmetry_Int_Tables_number 225
_symmetry_space_group_name_Hall '-F 4 2 3'
_cell_length_a 6.535
_cell_length_b 6.535
_cell_length_c 6.535
_cell_angle_alpha 90.00
_cell_angle_beta 90.00
_cell_angle_gamma 90.00
loop_
_atom_site_label
_atom_site_type_symbol
_atom_site_fract_x
_atom_site_fract_y
_atom_site_fract_z
Ca1 Ca 0.000 0.000 0.000
Cr1 Cr 0.250 0.250 0.250
Ni1 Ni 0.000 0.000 0.500
```



# 18
Density functional theory data (GGA-PBE) for CaCrNi2 after structural relaxation.

Properties
E above lowest polymorph, meV per atom: 0
ΔE_f, eV per atom: 0.10
DOS at the Fermi energy, states/eV per atom: 1.379

Geometry as CIF:
```
data_CaCrNi2
_chemical_formula_sum 'Ca3 Cr3 Ni6'
_symmetry_space_group_name_H-M 'R -3 m'
_symmetry_Int_Tables_number 166
_symmetry_space_group_name_Hall '-R 3 2"'
_cell_length_a 4.0945
_cell_length_b 4.0945
_cell_length_c 14.8553
_cell_angle_alpha 90.00
_cell_angle_beta 90.00
_cell_angle_gamma 120.00
loop_
_atom_site_label
_atom_site_type_symbol
_atom_site_fract_x
_atom_site_fract_y
_atom_site_fract_z
Ca1 Ca 0.0000 0.0000 0.0000
Cr1 Cr 0.0000 0.0000 0.5000
Ni1 Ni 0.0000 0.0000 0.1952
```



# 19
Density functional theory data (GGA-PBE) for CaCr2Ni after structural relaxation.

Properties
E above lowest polymorph, meV per atom: 444
ΔE_f, eV per atom: 0.80
DOS at the Fermi energy, states/eV per atom: 1.224

Geometry as CIF:
```
data_CaCr2Ni
_chemical_formula_sum 'Ca2 Cr4 Ni2'
_symmetry_space_group_name_H-M 'C 1 2/m 1'
_symmetry_Int_Tables_number 12
_cell_length_a 4.979
_cell_length_b 9.578
_cell_length_c 2.576
_cell_angle_alpha 90.00
_cell_angle_beta 108.81
_cell_angle_gamma 90.00
loop_
_symmetry_equiv_pos_as_xyz
'x,y,z'
'-x,-y,-z'
'-x,y,-z'
'x,-y,z'
'x+1/2,y+1/2,z'
'-x+1/2,-y+1/2,-z'
'-x+1/2,y+1/2,-z'
'x+1/2,-y+1/2,z'
loop_
_atom_site_label
_atom_site_type_symbol
_atom_site_fract_x
_atom_site_fract_y
_atom_site_fract_z
Ca1 Ca 0.000 0.000 0.000
Cr1 Cr 0.250 0.250 0.500
Ni1 Ni 0.000 0.500 0.000
```



# 20
Density functional theory data (GGA-PBE) for Ca2CrNi after structural relaxation.

Properties
E above lowest polymorph, meV per atom: 321
ΔE_f, eV per atom: 0.57
DOS at the Fermi energy, states/eV per atom: 0.626

Geometry as CIF:
```
data_Ca2CrNi
_chemical_formula_sum 'Ca8 Cr4 Ni4'
_symmetry_space_group_name_H-M 'I -4 2 d'
_symmetry_Int_Tables_number 122
_symmetry_space_group_name_Hall 'I -4 2bw'
_cell_length_a 8.094
_cell_length_b 8.094
_cell_length_c 6.016
_cell_angle_alpha 90.00
_cell_angle_beta 90.00
_cell_angle_gamma 90.00
loop_
_atom_site_label
_atom_site_type_symbol
_atom_site_fract_x
_atom_site_fract_y
_atom_site_fract_z
Ca1 Ca 0.193 0.750 0.125
Cr1 Cr 0.000 0.000 0.500
Ni1 Ni 0.000 0.000 0.000
```